1:
VASP calculation (PBE) on an optimized crystal structure of LaHfCu.

As for the density of states at the Fermi level: 0.7122 states/eV/atom.

The space group is Cmcm (No. 63) and the conventional cell measures 4.214, 12.052 and 5.770 Å, with angles of 90.00, 90.00 and 90.00 degrees. The asymmetric unit holds La at (0.000, 0.191, 0.250), Hf at (0.000, 0.068, 0.750) and Cu at (0.000, 0.500, 0.000).

2:
VASP calculation (PBE) on an optimized crystal structure of LaHfCu.

As for the density of states at the Fermi level: 1.2661 states/eV/atom.

The space group is Pnma (No. 62) and the conventional cell measures 8.433, 3.291 and 9.854 Å, with angles of 90.00, 90.00 and 90.00 degrees. The asymmetric unit holds La at (0.163, 0.250, 0.071), Hf at (0.055, 0.250, 0.378) and Cu at (0.154, 0.250, 0.774).

Of them, 2 has the lowest stability.

1:
VASP calculation (PBE) on an optimized crystal structure of LaHfCu.

As for the density of states at the Fermi level: 0.1735 states/eV/atom.

The space group is F-43m (No. 216) and the conventional cell measures 6.750, 6.750 and 6.750 Å, with angles of 90.00, 90.00 and 90.00 degrees. The asymmetric unit holds La at (0.000, 0.000, 0.000), Hf at (0.250, 0.250, 0.750) and Cu at (0.250, 0.250, 0.250).

2:
VASP calculation (PBE) on an optimized crystal structure of LaHfCu.

As for the density of states at the Fermi level: 1.1671 states/eV/atom.

The space group is Cm (No. 8) and the conventional cell measures 8.217, 4.766 and 7.093 Å, with angles of 90.00, 90.02 and 90.00 degrees. The asymmetric unit holds La at (0.000, 0.000, 0.000), La at (0.165, 0.500, 0.240), Hf at (0.166, 0.500, 0.719), Hf at (0.332, 0.000, 0.524), Cu at (0.334, 0.000, 0.891) and Cu at (0.498, 0.500, 0.509).

Of them, 1 has the lowest stability.

1:
VASP calculation (PBE) on an optimized crystal structure of LaHfCu.

As for the density of states at the Fermi level: 1.0931 states/eV/atom.

The space group is P2/m (No. 10) and the conventional cell measures 5.029, 3.370 and 8.498 Å, with angles of 90.00, 107.13 and 90.00 degrees. The asymmetric unit holds La at (0.181, 0.000, 0.360), Hf at (0.000, 0.500, 0.000), Hf at (0.500, 0.000, 0.000) and Cu at (0.367, 0.500, 0.736).

2:
VASP calculation (PBE) on an optimized crystal structure of LaHfCu.

As for the density of states at the Fermi level: 1.4037 states/eV/atom.

The space group is C2/m (No. 12) and the conventional cell measures 14.497, 3.518 and 5.698 Å, with angles of 90.00, 103.13 and 90.00 degrees. The asymmetric unit holds La at (0.056, 0.000, 0.267), Hf at (0.168, 0.500, 0.841) and Cu at (0.232, 0.500, 0.346).

3:
VASP calculation (PBE) on an optimized crystal structure of LaHfCu.

As for the density of states at the Fermi level: 1.0906 states/eV/atom.

The space group is P1 (No. 1) and the conventional cell measures 3.363, 6.177 and 7.235 Å, with angles of 82.38, 76.60 and 74.27 degrees. The asymmetric unit holds La at (0.000, 0.000, 0.000), La at (0.365, 0.509, 0.761), Hf at (0.159, 0.324, 0.360), Hf at (0.407, 0.794, 0.392), Cu at (0.684, 0.030, 0.603) and Cu at (0.684, 0.532, 0.102).

4:
VASP calculation (PBE) on an optimized crystal structure of LaHfCu.

As for the density of states at the Fermi level: 0.6114 states/eV/atom.

The space group is F-43m (No. 216) and the conventional cell measures 6.670, 6.670 and 6.670 Å, with angles of 90.00, 90.00 and 90.00 degrees. The asymmetric unit holds La at (0.000, 0.000, 0.000), Hf at (0.250, 0.250, 0.750) and Cu at (0.000, 0.000, 0.500).

Of them, 4 has the lowest stability.

1:
VASP calculation (PBE) on an optimized crystal structure of La3HfCu.

As for the density of states at the Fermi level: 1.2584 states/eV/atom.

The space group is Pm-3m (No. 221) and the conventional cell measures 5.730, 5.730 and 5.730 Å, with angles of 90.00, 90.00 and 90.00 degrees. The asymmetric unit holds La at (0.000, 0.000, 0.500), Hf at (0.000, 0.000, 0.000) and Cu at (0.500, 0.500, 0.500).

2:
VASP calculation (PBE) on an optimized crystal structure of La3HfCu.

As for the density of states at the Fermi level: 2.2971 states/eV/atom.

The space group is Pm-3m (No. 221) and the conventional cell measures 5.505, 5.505 and 5.505 Å, with angles of 90.00, 90.00 and 90.00 degrees. The asymmetric unit holds La at (0.000, 0.000, 0.500), Hf at (0.500, 0.500, 0.500) and Cu at (0.000, 0.000, 0.000).

Of them, 1 has the lowest stability.

1:
VASP calculation (PBE) on an optimized crystal structure of LaHf2Cu2.

As for the density of states at the Fermi level: 1.0779 states/eV/atom.

The space group is I4/mmm (No. 139) and the conventional cell measures 4.476, 4.476 and 10.887 Å, with angles of 90.00, 90.00 and 90.00 degrees. The asymmetric unit holds La at (0.000, 0.000, 0.000), Hf at (0.000, 0.500, 0.250) and Cu at (0.000, 0.000, 0.390).

2:
VASP calculation (PBE) on an optimized crystal structure of LaHf2Cu2.

As for the density of states at the Fermi level: 1.1754 states/eV/atom.

The space group is P4/mbm (No. 127) and the conventional cell measures 7.787, 7.787 and 3.349 Å, with angles of 90.00, 90.00 and 90.00 degrees. The asymmetric unit holds La at (0.000, 0.000, 0.000), Hf at (0.164, 0.336, 0.500) and Cu at (0.119, 0.619, 0.000).

3:
VASP calculation (PBE) on an optimized crystal structure of LaHf2Cu2.

As for the density of states at the Fermi level: 1.3412 states/eV/atom.

The space group is I4/mmm (No. 139) and the conventional cell measures 4.443, 4.443 and 11.490 Å, with angles of 90.00, 90.00 and 90.00 degrees. The asymmetric unit holds La at (0.000, 0.000, 0.000), Hf at (0.000, 0.000, 0.367) and Cu at (0.000, 0.500, 0.250).

Of them, 3 has the lowest stability.

1:
VASP calculation (PBE) on an optimized crystal structure of LiHfCu2.

As for the density of states at the Fermi level: 0.9733 states/eV/atom.

The space group is Fm-3m (No. 225) and the conventional cell measures 6.214, 6.214 and 6.214 Å, with angles of 90.00, 90.00 and 90.00 degrees. The asymmetric unit holds Li at (0.000, 0.000, 0.000), Hf at (0.000, 0.000, 0.500) and Cu at (0.250, 0.250, 0.250).

2:
VASP calculation (PBE) on an optimized crystal structure of LiHfCu2.

As for the density of states at the Fermi level: 1.1441 states/eV/atom.

The space group is I-42d (No. 122) and the conventional cell measures 6.861, 6.861 and 5.240 Å, with angles of 90.00, 90.00 and 90.00 degrees. The asymmetric unit holds Li at (0.000, 0.000, 0.000), Hf at (0.000, 0.000, 0.500) and Cu at (0.212, 0.250, 0.125).

Of them, 2 has the lowest stability.

1:
VASP calculation (PBE) on an optimized crystal structure of LiHfCu3.

As for the density of states at the Fermi level: 0.8137 states/eV/atom.

The space group is Pm-3m (No. 221) and the conventional cell measures 4.144, 4.144 and 4.144 Å, with angles of 90.00, 90.00 and 90.00 degrees. The asymmetric unit holds Li at (0.000, 0.000, 0.000), Hf at (0.500, 0.500, 0.500) and Cu at (0.000, 0.000, 0.500).

2:
VASP calculation (PBE) on an optimized crystal structure of LiHfCu3.

As for the density of states at the Fermi level: 0.7863 states/eV/atom.

The space group is Pm-3m (No. 221) and the conventional cell measures 4.957, 4.957 and 4.957 Å, with angles of 90.00, 90.00 and 90.00 degrees. The asymmetric unit holds Li at (0.000, 0.000, 0.000), Hf at (0.500, 0.500, 0.500) and Cu at (0.000, 0.500, 0.500).

Of them, 2 has the lowest stability.

1:
VASP calculation (PBE) on an optimized crystal structure of LiHf2Cu2.

As for the density of states at the Fermi level: 0.5080 states/eV/atom.

The space group is P4/mbm (No. 127) and the conventional cell measures 7.863, 7.863 and 2.862 Å, with angles of 90.00, 90.00 and 90.00 degrees. The asymmetric unit holds Li at (0.000, 0.000, 0.000), Hf at (0.162, 0.338, 0.000) and Cu at (0.132, 0.632, 0.500).

2:
VASP calculation (PBE) on an optimized crystal structure of LiHf2Cu2.

As for the density of states at the Fermi level: 0.8921 states/eV/atom.

The space group is P4/mbm (No. 127) and the conventional cell measures 7.218, 7.218 and 3.328 Å, with angles of 90.00, 90.00 and 90.00 degrees. The asymmetric unit holds Li at (0.000, 0.000, 0.000), Hf at (0.167, 0.333, 0.500) and Cu at (0.127, 0.627, 0.000).

Of them, 1 has the lowest stability.